Here is an optimized crystal structure of BaNaAsF6 from Alexandria via LeMat-Bulk. Energies are from PBE.

## Properties
**Calculated total energy**: -4.954 eV per atom
**Fermi-level density of states**: 0.00 states/eV/cell
**Formation energy (no corrections)**: -25.46 eV/f.u.

```
data_BaNaAsF6
_cell_length_a 5.795
_cell_length_b 10.058
_cell_length_c 5.562
_cell_angle_alpha 90.00
_cell_angle_beta 90.08
_cell_angle_gamma 90.00
_space_group_name_H-M_alt 'C 1 2 1'
_space_group_IT_number 5
loop_
_space_group_symop_operation_xyz
'x,y,z'
'-x,y,-z'
'x+1/2,y+1/2,z'
'-x+1/2,y+1/2,-z'
loop_
_atom_site_label
_atom_site_type_symbol
_atom_site_fract_x
_atom_site_fract_y
_atom_site_fract_z
_atom_site_occupancy
Ba1 Ba 0.000 0.000 0.000 1
Na1 Na 0.000 0.334 0.500 1
As1 As 0.000 0.667 0.500 1
F1 F 0.137 0.515 0.288 1
F2 F 0.157 0.811 0.289 1
F3 F 0.204 0.174 0.289 1
```